Entry from the Alexandria database: crystalline LuCo4Os at its relaxed geometry (GGA-PBE).

E (eV for the cell shown): -44.420
Space group: No. 216
Magnetic moment (Bohr magnetons per cell): 7.0

Unit cell a=4.839 b=4.839 c=4.839 alpha=60.00 beta=60.00 gamma=60.00
Element x y z (fractional)
Lu 0.000 0.000 0.000
Co 0.375 0.375 0.375
Co 0.375 0.375 0.876
Co 0.375 0.876 0.375
Co 0.876 0.375 0.375
Os 0.750 0.750 0.750

=====

Entry from the Alexandria database: crystalline Lu2CoOs at its relaxed geometry (GGA-PBE).

E (eV for the cell shown): -28.441
Space group: No. 225
Magnetic moment (Bohr magnetons per cell): 0.0

Unit cell a=4.656 b=4.656 c=4.656 alpha=60.00 beta=60.00 gamma=60.00
Element x y z (fractional)
Lu 0.250 0.250 0.250
Lu 0.750 0.750 0.750
Co 0.000 0.000 0.000
Os 0.500 0.500 0.500

=====

Entry from the Alexandria database: crystalline Lu2CoOs at its relaxed geometry (GGA-PBE).

E (eV for the cell shown): -28.388
Space group: No. 123
Magnetic moment (Bohr magnetons per cell): 0.0

Unit cell a=3.308 b=3.308 c=6.583 alpha=90.00 beta=90.00 gamma=90.00
Element x y z (fractional)
Lu 0.000 0.000 0.249
Lu 0.000 0.000 0.751
Co 0.500 0.500 0.000
Os 0.500 0.500 0.500

=====

Entry from the Alexandria database: crystalline LuPaCoOs at its relaxed geometry (GGA-PBE).

E (eV for the cell shown): -33.398
Space group: No. 216
Magnetic moment (Bohr magnetons per cell): 0.0

Unit cell a=4.757 b=4.757 c=4.757 alpha=60.00 beta=60.00 gamma=60.00
Element x y z (fractional)
Lu 0.000 0.000 0.000
Pa 0.500 0.500 0.500
Co 0.750 0.750 0.750
Os 0.250 0.250 0.250

=====

Entry from the Alexandria database: crystalline PmLuCoOs at its relaxed geometry (GGA-PBE).

E (eV for the cell shown): -27.873
Space group: No. 216
Magnetic moment (Bohr magnetons per cell): 0.7

Unit cell a=4.802 b=4.802 c=4.802 alpha=60.00 beta=60.00 gamma=60.00
Element x y z (fractional)
Pm 0.000 0.000 0.000
Lu 0.500 0.500 0.500
Co 0.750 0.750 0.750
Os 0.250 0.250 0.250

=====

Entry from the Alexandria database: crystalline TbLuCoOs at its relaxed geometry (GGA-PBE).

E (eV for the cell shown): -28.162
Space group: No. 216
Magnetic moment (Bohr magnetons per cell): 0.0

Unit cell a=4.738 b=4.738 c=4.738 alpha=60.00 beta=60.00 gamma=60.00
Element x y z (fractional)
Tb 0.000 0.000 0.000
Lu 0.500 0.500 0.500
Co 0.750 0.750 0.750
Os 0.250 0.250 0.250

=====

Entry from the Alexandria database: crystalline LuThCoOs at its relaxed geometry (GGA-PBE).

E (eV for the cell shown): -31.313
Space group: No. 216
Magnetic moment (Bohr magnetons per cell): 0.5

Unit cell a=4.847 b=4.847 c=4.847 alpha=60.00 beta=60.00 gamma=60.00
Element x y z (fractional)
Lu 0.000 0.000 0.000
Th 0.500 0.500 0.500
Co 0.750 0.750 0.750
Os 0.250 0.250 0.250

=====

Entry from the Alexandria database: crystalline LuTiCoOs at its relaxed geometry (GGA-PBE).

E (eV for the cell shown): -32.132
Space group: No. 216
Magnetic moment (Bohr magnetons per cell): 0.2

Unit cell a=4.486 b=4.486 c=4.486 alpha=60.00 beta=60.00 gamma=60.00
Element x y z (fractional)
Lu 0.000 0.000 0.000
Ti 0.500 0.500 0.500
Co 0.250 0.250 0.250
Os 0.750 0.750 0.750

=====

Entry from the Alexandria database: crystalline TmLuCoOs at its relaxed geometry (GGA-PBE).

E (eV for the cell shown): -28.299
Space group: No. 216
Magnetic moment (Bohr magnetons per cell): 0.0

Unit cell a=4.691 b=4.691 c=4.691 alpha=60.00 beta=60.00 gamma=60.00
Element x y z (fractional)
Tm 0.000 0.000 0.000
Lu 0.500 0.500 0.500
Co 0.750 0.750 0.750
Os 0.250 0.250 0.250

=====

Entry from the Alexandria database: crystalline LuUCoOs at its relaxed geometry (GGA-PBE).

E (eV for the cell shown): -34.618
Space group: No. 216
Magnetic moment (Bohr magnetons per cell): 1.5

Unit cell a=4.715 b=4.715 c=4.715 alpha=60.00 beta=60.00 gamma=60.00
Element x y z (fractional)
Lu 0.000 0.000 0.000
U 0.500 0.500 0.500
Co 0.250 0.250 0.250
Os 0.750 0.750 0.750

=====

Entry from the Alexandria database: crystalline LuZrCoOs at its relaxed geometry (GGA-PBE).

E (eV for the cell shown): -32.898
Space group: No. 216
Magnetic moment (Bohr magnetons per cell): 0.4

Unit cell a=4.631 b=4.631 c=4.631 alpha=60.00 beta=60.00 gamma=60.00
Element x y z (fractional)
Lu 0.000 0.000 0.000
Zr 0.500 0.500 0.500
Co 0.750 0.750 0.750
Os 0.250 0.250 0.250

=====

Entry from the Alexandria database: crystalline Lu5Co19P12 at its relaxed geometry (GGA-PBE).

E (eV for the cell shown): -255.028
Space group: No. 189
Magnetic moment (Bohr magnetons per cell): 6.7

Unit cell a=11.911 b=11.911 c=3.636 alpha=90.00 beta=90.00 gamma=120.00
Element x y z (fractional)
Lu 0.000 0.186 0.000
Lu 0.186 0.000 0.000
Lu 0.333 0.667 0.500
Lu 0.667 0.333 0.500
Lu 0.814 0.814 0.000
Co 0.000 0.000 0.500
Co 0.000 0.552 0.500
Co 0.000 0.715 0.000
Co 0.126 0.484 0.000
Co 0.178 0.801 0.500
Co 0.199 0.377 0.500
Co 0.285 0.285 0.000
Co 0.358 0.874 0.000
Co 0.377 0.199 0.500
Co 0.448 0.448 0.500
Co 0.484 0.126 0.000
Co 0.516 0.642 0.000
Co 0.552 0.000 0.500
Co 0.623 0.822 0.500
Co 0.642 0.516 0.000
Co 0.715 0.000 0.000
Co 0.801 0.178 0.500
Co 0.822 0.623 0.500
Co 0.874 0.358 0.000
P 0.000 0.366 0.500
P 0.000 0.820 0.500
P 0.166 0.685 0.000
P 0.180 0.180 0.500
P 0.315 0.481 0.000
P 0.366 0.000 0.500
P 0.481 0.315 0.000
P 0.519 0.834 0.000
P 0.634 0.634 0.500
P 0.685 0.166 0.000
P 0.820 0.000 0.500
P 0.834 0.519 0.000